{"formula": "Sm2AsAu", "functional": "PBE-GGA", "state": "optimized geometry", "cell": [[4.123, 0.000, 0.000], [2.062, 3.571, 0.000], [2.062, 1.190, 7.367]], "species": ["Sm", "Sm", "Au", "As"], "fractional_positions": [[0.256, 0.256, 0.232], [0.078, 0.078, 0.766], [0.500, 0.500, 0.500], [0.666, 0.666, 0.001]], "formation_enthalpy_0k_ev_per_atom": -1.06, "total_energy_ev_per_atom": -5.399, "space_group": "R3m"}

=====

{"formula": "SmAs2Au4", "functional": "PBE-GGA", "state": "optimized geometry", "cell": [[4.437, 0.000, 0.000], [0.000, 8.041, 0.000], [0.000, 0.000, 8.041]], "species": ["Sm", "Sm", "As", "As", "As", "As", "Au", "Au", "Au", "Au", "Au", "Au", "Au", "Au"], "fractional_positions": [[0.500, 0.000, 0.000], [0.000, 0.500, 0.500], [0.000, 0.783, 0.217], [0.500, 0.283, 0.283], [0.500, 0.717, 0.717], [0.000, 0.217, 0.783], [0.000, 0.336, 0.085], [0.000, 0.085, 0.336], [0.000, 0.915, 0.664], [0.500, 0.585, 0.164], [0.500, 0.836, 0.415], [0.500, 0.415, 0.836], [0.500, 0.164, 0.585], [0.000, 0.664, 0.915]], "formation_enthalpy_0k_ev_per_atom": -0.33, "total_energy_ev_per_atom": -4.209, "space_group": "P4_2/mnm"}

=====

{"formula": "Sn2AsAu2", "functional": "PBE-GGA", "state": "optimized geometry", "cell": [[8.068, 0.000, 0.000], [0.000, 8.068, 0.000], [0.000, 0.000, 3.580]], "species": ["As", "As", "Sn", "Sn", "Sn", "Sn", "Au", "Au", "Au", "Au"], "fractional_positions": [[0.000, 0.000, 0.000], [0.500, 0.500, 0.000], [0.313, 0.813, 0.000], [0.187, 0.313, 0.000], [0.813, 0.687, 0.000], [0.687, 0.187, 0.000], [0.879, 0.379, 0.500], [0.121, 0.621, 0.500], [0.621, 0.879, 0.500], [0.379, 0.121, 0.500]], "formation_enthalpy_0k_ev_per_atom": 0.12, "total_energy_ev_per_atom": -3.726, "space_group": "P4/mbm", "polymorph_energy_mev_per_atom": 92}

=====

{"formula": "SnAsAu", "functional": "PBE-GGA", "state": "optimized geometry", "cell": [[-1.247, -3.307, -0.489], [4.260, -3.373, -1.066], [-0.509, -2.815, 7.316]], "species": ["As", "As", "Sn", "Sn", "Au", "Au"], "fractional_positions": [[0.327, 0.834, 0.513], [0.673, 0.166, 0.487], [0.091, 0.626, 0.191], [0.909, 0.374, 0.809], [0.167, 0.813, 0.853], [0.833, 0.187, 0.147]], "formation_enthalpy_0k_ev_per_atom": -0.01, "total_energy_ev_per_atom": -3.987, "space_group": "C2/m", "polymorph_energy_mev_per_atom": 19}

=====

{"formula": "SnAs2Au", "functional": "PBE-GGA", "state": "optimized geometry", "cell": [[5.060, 0.000, 0.000], [2.530, 4.382, 0.000], [2.530, 1.461, 5.558]], "species": ["Au", "As", "As", "Sn"], "fractional_positions": [[0.000, 0.000, 0.000], [0.853, 0.853, 0.440], [0.147, 0.147, 0.560], [0.500, 0.500, 0.500]], "formation_enthalpy_0k_ev_per_atom": 0.33, "total_energy_ev_per_atom": -3.813, "space_group": "R-3m"}

=====

{"formula": "Sn2AsAu2", "functional": "PBE-GGA", "state": "optimized geometry", "cell": [[-5.322, -1.529, -4.956], [4.801, -4.136, -3.881], [-1.081, -3.297, 2.178]], "species": ["Au", "Au", "Au", "Au", "Sn", "Sn", "Sn", "Sn", "As", "As"], "fractional_positions": [[0.137, 0.363, 0.000], [0.363, 0.863, 0.000], [0.863, 0.637, 0.000], [0.637, 0.137, 0.000], [0.330, 0.170, 0.500], [0.670, 0.830, 0.500], [0.830, 0.330, 0.500], [0.170, 0.670, 0.500], [0.000, 0.000, 0.000], [0.500, 0.500, 0.000]], "formation_enthalpy_0k_ev_per_atom": 0.02, "total_energy_ev_per_atom": -3.818, "space_group": "P4/mbm", "polymorph_energy_mev_per_atom": 0}

=====

{"formula": "SnAsAu14", "functional": "PBE-GGA", "state": "optimized geometry", "cell": [[-2.618, -2.624, 4.652], [0.303, -2.974, -5.143], [8.386, -3.699, 2.634]], "species": ["Au", "Au", "Au", "Au", "Au", "Au", "Au", "Au", "Au", "Au", "Au", "Au", "Au", "Au", "As", "Sn"], "fractional_positions": [[0.545, 0.954, 0.500], [0.874, 0.126, 0.248], [0.376, 0.126, 0.753], [0.874, 0.624, 0.753], [0.874, 0.126, 0.752], [0.205, 0.298, 0.000], [0.704, 0.296, 0.000], [0.046, 0.455, 0.500], [0.874, 0.624, 0.247], [0.376, 0.624, 0.251], [0.204, 0.796, 0.000], [0.702, 0.795, 0.000], [0.376, 0.624, 0.749], [0.376, 0.126, 0.247], [0.549, 0.451, 0.500], [0.045, 0.955, 0.500]], "formation_enthalpy_0k_ev_per_atom": 0.04, "total_energy_ev_per_atom": -3.371, "space_group": "Amm2"}

=====

{"formula": "Sn4AsAu2", "functional": "PBE-GGA", "state": "optimized geometry", "cell": [[-1.997, -3.477, -0.642], [3.921, -1.610, -3.479], [2.075, -2.608, 7.674]], "species": ["Sn", "Sn", "Sn", "Sn", "As", "Au", "Au"], "fractional_positions": [[0.000, 0.367, 0.290], [0.000, 0.490, 0.710], [0.500, 0.140, 0.836], [0.500, 0.717, 0.164], [0.000, 0.929, 0.000], [0.500, 0.152, 0.455], [0.500, 0.706, 0.545]], "formation_enthalpy_0k_ev_per_atom": -0.04, "total_energy_ev_per_atom": -3.924, "space_group": "P2/m"}

=====

Number 1: magnetization 0.00 μB/f.u.. Number 2: magnetization 0.00 μB/f.u.. Number 3: magnetization 0.00 μB/f.u.. Number 4: magnetization 0.00 μB/f.u.. Number 5: magnetization 0.00 μB/f.u.. Number 6: magnetization 0.00 μB/f.u.. Number 7: magnetization 0.00 μB/f.u.. Number 8: magnetization 0.00 μB/f.u..